No. 1
Computed, not measured: a relaxed HfAgMo crystal at the PBE level of DFT.

Cell: 4.461 4.461 4.461 Å, 60.00 60.00 60.00°
Fractional coordinates of all 3 atoms:
Hf 0.000 0.000 0.000
Ag 0.250 0.250 0.250
Mo 0.500 0.500 0.500

Values from the calculation:
Offset from the most stable computed form   0 meV per atom
Size of the total moment   0.5 μB/f.u.
Formation enthalpy at 0 K   2.9 eV per formula unit
Total energy   -6.915 eV/atom

***

No. 2
Computed, not measured: a relaxed AsPt17 crystal at the PBE level of DFT.

Cell: 5.530 5.530 30.906 Å, 90.00 90.00 120.00°
Fractional coordinates of all 36 atoms:
As 0.333 0.667 0.296
As 0.667 0.333 0.704
Pt 0.000 0.000 0.000
Pt 0.000 0.000 0.225
Pt 0.000 0.000 0.775
Pt 0.000 0.500 0.000
Pt 0.000 0.500 0.225
Pt 0.000 0.500 0.775
Pt 0.164 0.833 0.699
Pt 0.166 0.833 0.925
Pt 0.167 0.331 0.699
Pt 0.167 0.333 0.150
Pt 0.167 0.333 0.925
Pt 0.167 0.833 0.150
Pt 0.331 0.164 0.301
Pt 0.333 0.166 0.075
Pt 0.333 0.167 0.850
Pt 0.333 0.667 0.074
Pt 0.333 0.667 0.851
Pt 0.500 0.000 0.000
Pt 0.500 0.000 0.225
Pt 0.500 0.000 0.775
Pt 0.500 0.500 0.000
Pt 0.500 0.500 0.225
Pt 0.500 0.500 0.775
Pt 0.667 0.333 0.149
Pt 0.667 0.333 0.926
Pt 0.667 0.833 0.150
Pt 0.667 0.834 0.925
Pt 0.669 0.836 0.699
Pt 0.833 0.167 0.850
Pt 0.833 0.667 0.075
Pt 0.833 0.667 0.850
Pt 0.833 0.669 0.301
Pt 0.834 0.167 0.075
Pt 0.836 0.167 0.301

Values from the calculation:
Offset from the most stable computed form   0 meV per atom
Size of the total moment   0.1 μB/f.u.
Total energy   -5.895 eV/atom

***

No. 3
Computed, not measured: a relaxed BaHoGa crystal at the PBE level of DFT.

Cell: 5.188 5.188 5.188 Å, 60.00 60.00 60.00°
Fractional coordinates of all 3 atoms:
Ba 0.000 0.000 0.000
Ho 0.250 0.250 0.250
Ga 0.500 0.500 0.500

Values from the calculation:
Offset from the most stable computed form   0 meV per atom
Size of the total moment   0.0 μB/f.u.
Total energy   -2.942 eV/atom

***

No. 4
Computed, not measured: a relaxed ErGa3B2 crystal at the PBE level of DFT.

Cell: 5.396 5.396 3.453 Å, 90.00 90.00 120.00°
Fractional coordinates of all 6 atoms:
Er 0.000 0.000 0.000
Ga 0.000 0.500 0.500
Ga 0.500 0.000 0.500
Ga 0.500 0.500 0.500
B 0.333 0.667 0.000
B 0.667 0.333 0.000

Values from the calculation:
Size of the total moment   0.0 μB/f.u.
Total energy   -4.245 eV/atom

***

No. 5
Computed, not measured: a relaxed YNpGe crystal at the PBE level of DFT.

Cell: 4.849 4.849 4.849 Å, 60.00 60.00 60.00°
Fractional coordinates of all 3 atoms:
Y 0.000 0.000 0.000
Np 0.500 0.500 0.500
Ge 0.750 0.750 0.750

Values from the calculation:
Offset from the most stable computed form   0 meV per atom
Size of the total moment   5.4 μB/f.u.
Total energy   -7.968 eV/atom

***

No. 6
Computed, not measured: a relaxed Ho2ErFe8Ni crystal at the PBE level of DFT.

Cell: 8.624 8.624 8.624 Å, 33.81 33.81 33.81°
Fractional coordinates of all 12 atoms:
Ho 0.142 0.142 0.142
Ho 0.858 0.858 0.858
Er 0.000 0.000 0.000
Fe 0.080 0.582 0.582
Fe 0.333 0.333 0.333
Fe 0.418 0.418 0.920
Fe 0.418 0.920 0.418
Fe 0.582 0.080 0.582
Fe 0.582 0.582 0.080
Fe 0.667 0.667 0.667
Fe 0.920 0.418 0.418
Ni 0.500 0.500 0.500

Values from the calculation:
Size of the total moment   16.8 μB/f.u.
Formation enthalpy at 0 K   -1.5 eV per formula unit
Total energy   -7.269 eV/atom

***

No. 7
Computed, not measured: a relaxed Pr3TcN5 crystal at the PBE level of DFT.

Cell: 7.515 7.515 7.515 Å, 126.14 126.14 79.66°
Fractional coordinates of all 18 atoms:
Pr 0.172 0.672 0.844
Pr 0.250 0.250 0.000
Pr 0.328 0.172 0.500
Pr 0.672 0.828 0.500
Pr 0.750 0.750 0.000
Pr 0.828 0.328 0.156
Tc 0.250 0.750 0.500
Tc 0.750 0.250 0.500
N 0.000 0.000 0.000
N 0.001 0.800 0.500
N 0.200 0.700 0.201
N 0.300 0.501 0.500
N 0.499 0.999 0.799
N 0.500 0.500 0.000
N 0.501 0.001 0.201
N 0.700 0.499 0.500
N 0.800 0.300 0.799
N 0.999 0.200 0.500

Values from the calculation:
Size of the total moment   0.0 μB/f.u.
Total energy   -8.277 eV/atom

***

No. 8
Computed, not measured: a relaxed AcTbAl crystal at the PBE level of DFT.

Cell: 5.362 5.362 5.362 Å, 60.00 60.00 60.00°
Fractional coordinates of all 3 atoms:
Ac 0.000 0.000 0.000
Tb 0.250 0.250 0.250
Al 0.750 0.750 0.750

Values from the calculation:
Offset from the most stable computed form   623 meV per atom
Size of the total moment   0.0 μB/f.u.
Total energy   -3.520 eV/atom

***

No. 9
Computed, not measured: a relaxed BaPmNO crystal at the PBE level of DFT.

Cell: 4.354 4.354 8.549 Å, 90.00 90.00 90.00°
Fractional coordinates of all 8 atoms:
Ba 0.250 0.750 0.000
Ba 0.750 0.250 0.000
Pm 0.250 0.250 0.395
Pm 0.750 0.750 0.605
N 0.250 0.250 0.819
N 0.750 0.750 0.181
O 0.250 0.750 0.500
O 0.750 0.250 0.500

Values from the calculation:
Offset from the most stable computed form   776 meV per atom
Size of the total moment   0.0 μB/f.u.
Total energy   -6.101 eV/atom

***

No. 10
Computed, not measured: a relaxed Ho2ErTc crystal at the PBE level of DFT.

Cell: 6.222 6.222 9.101 Å, 90.00 90.00 143.83°
Fractional coordinates of all 8 atoms:
Ho 0.143 0.857 0.565
Ho 0.143 0.857 0.935
Ho 0.857 0.143 0.065
Ho 0.857 0.143 0.435
Er 0.428 0.572 0.750
Er 0.572 0.428 0.250
Tc 0.239 0.761 0.250
Tc 0.761 0.239 0.750

Values from the calculation:
Size of the total moment   0.0 μB/f.u.
Formation enthalpy at 0 K   -0.5 eV per formula unit
Total energy   -6.143 eV/atom

***

No. 11
Computed, not measured: a relaxed MgAsAuO crystal at the PBE level of DFT.

Cell: 3.274 7.710 5.693 Å, 90.00 90.00 90.00°
Fractional coordinates of all 8 atoms:
Mg 0.000 0.114 0.000
Mg 0.000 0.886 0.500
As 0.500 0.370 0.819
As 0.500 0.630 0.319
Au 0.500 0.319 0.365
Au 0.500 0.681 0.865
O 0.000 0.093 0.329
O 0.000 0.907 0.829

Values from the calculation:
Offset from the most stable computed form   295 meV per atom
Total energy   -4.256 eV/atom

***

No. 12
Computed, not measured: a relaxed ErZrTeC crystal at the PBE level of DFT.

Cell: 3.655 3.655 13.717 Å, 90.00 90.00 120.00°
Fractional coordinates of all 8 atoms:
Er 0.333 0.667 0.094
Er 0.667 0.333 0.906
Zr 0.333 0.667 0.415
Zr 0.667 0.333 0.585
Te 0.333 0.667 0.737
Te 0.667 0.333 0.263
C 0.000 0.000 0.000
C 0.000 0.000 0.500

Values from the calculation:
Offset from the most stable computed form   0 meV per atom
Size of the total moment   0.0 μB/f.u.
Total energy   -7.241 eV/atom

***

No. 13
Computed, not measured: a relaxed Ni3AuS5 crystal at the PBE level of DFT.

Cell: 5.455 5.455 6.098 Å, 90.00 90.00 120.00°
Fractional coordinates of all 9 atoms:
Ni 0.000 0.500 0.000
Ni 0.500 0.000 0.000
Ni 0.500 0.500 0.000
Au 0.000 0.000 0.500
S 0.000 0.000 0.000
S 0.333 0.667 0.252
S 0.333 0.667 0.748
S 0.667 0.333 0.252
S 0.667 0.333 0.748

Values from the calculation:
Size of the total moment   0.0 μB/f.u.
Total energy   -4.409 eV/atom

***

No. 14
Computed, not measured: a relaxed Er5B crystal at the PBE level of DFT.

Cell: 6.136 6.136 5.847 Å, 90.00 90.00 120.00°
Fractional coordinates of all 6 atoms:
Er 0.000 0.500 0.000
Er 0.333 0.667 0.500
Er 0.500 0.000 0.000
Er 0.500 0.500 0.000
Er 0.667 0.333 0.500
B 0.000 0.000 0.500

Values from the calculation:
Size of the total moment   0.7 μB/f.u.
Total energy   -3.667 eV/atom

***

No. 15
Computed, not measured: a relaxed TaBeAsW crystal at the PBE level of DFT.

Cell: 4.394 4.394 4.394 Å, 60.00 60.00 60.00°
Fractional coordinates of all 4 atoms:
Ta 0.000 0.000 0.000
Be 0.750 0.750 0.750
As 0.500 0.500 0.500
W 0.250 0.250 0.250

Values from the calculation:
Offset from the most stable computed form   158 meV per atom
Size of the total moment   0.0 μB/f.u.
Total energy   -7.862 eV/atom

***

No. 16
Computed, not measured: a relaxed UI4 crystal at the PBE level of DFT.

Cell: 7.697 7.697 7.987 Å, 93.21 93.21 77.04°
Fractional coordinates of all 10 atoms:
U 0.194 0.194 0.446
U 0.806 0.806 0.554
I 0.050 0.050 0.748
I 0.171 0.551 0.659
I 0.325 0.325 0.155
I 0.449 0.829 0.341
I 0.551 0.171 0.659
I 0.675 0.675 0.845
I 0.829 0.449 0.341
I 0.950 0.950 0.252

Values from the calculation:
Size of the total moment   2.0 μB/f.u.
Total energy   -4.278 eV/atom

***

No. 17
Computed, not measured: a relaxed Y2CdHg2 crystal at the PBE level of DFT.

Cell: 7.824 7.824 7.824 Å, 147.49 147.49 46.64°
Fractional coordinates of all 5 atoms:
Y 0.107 0.107 0.000
Y 0.893 0.893 0.000
Cd 0.500 0.500 0.000
Hg 0.250 0.750 0.500
Hg 0.750 0.250 0.500

Values from the calculation:
Size of the total moment   0.1 μB/f.u.
Formation enthalpy at 0 K   -0.2 eV per formula unit
Total energy   -2.915 eV/atom

***

No. 18
Computed, not measured: a relaxed Mg2Re3 crystal at the PBE level of DFT.

Cell: 5.328 5.328 5.328 Å, 91.18 91.18 91.18°
Fractional coordinates of all 10 atoms:
Mg 0.124 0.124 0.124
Mg 0.376 0.376 0.376
Mg 0.624 0.624 0.624
Mg 0.876 0.876 0.876
Re 0.079 0.750 0.421
Re 0.250 0.579 0.921
Re 0.421 0.079 0.750
Re 0.579 0.921 0.250
Re 0.750 0.421 0.079
Re 0.921 0.250 0.579

Values from the calculation:
Size of the total moment   0.0 μB/f.u.
Total energy   -7.116 eV/atom

***

No. 19
Computed, not measured: a relaxed Pm4SnI5 crystal at the PBE level of DFT.

Cell: 10.032 10.032 9.176 Å, 101.76 101.76 25.26°
Fractional coordinates of all 10 atoms:
Pm 0.001 0.001 0.227
Pm 0.345 0.345 0.926
Pm 0.655 0.655 0.074
Pm 0.999 0.999 0.773
Sn 0.500 0.500 0.000
I 0.168 0.168 0.330
I 0.171 0.171 0.825
I 0.500 0.500 0.500
I 0.829 0.829 0.175
I 0.832 0.832 0.670

Values from the calculation:
Size of the total moment   0.0 μB/f.u.
Total energy   -4.234 eV/atom

***

No. 20
Computed, not measured: a relaxed Dy2ErTm2Lu2Ni2Te2 crystal at the PBE level of DFT.

Cell: 9.255 9.255 9.255 Å, 156.11 67.05 118.40°
Fractional coordinates of all 11 atoms:
Dy 0.147 0.000 0.147
Dy 0.853 0.000 0.853
Er 0.770 0.270 0.500
Tm 0.462 0.647 0.815
Tm 0.832 0.647 0.185
Lu 0.218 0.853 0.365
Lu 0.487 0.853 0.635
Ni 0.076 0.339 0.737
Ni 0.602 0.339 0.263
Te 0.111 0.611 0.500
Te 0.503 0.503 0.000

Values from the calculation:
Offset from the most stable computed form   5 meV per atom
Size of the total moment   0.0 μB/f.u.
Total energy   -5.150 eV/atom